Entry 1:
# TiBSbO2 | Alexandria via LeMat-Bulk | PBE-GGA | relaxed
# N(E_F): 0.306 states/eV/cell
# ΔE_f (raw): 0.15 eV per atom
data_TiBSbO2
_symmetry_space_group_name_H-M 'P 4/m m m'
_symmetry_Int_Tables_number 123
_symmetry_space_group_name_Hall '-P 4 2'
_cell_length_a 3.6814
_cell_length_b 3.6814
_cell_length_c 4.6999
_cell_angle_alpha 90.00
_cell_angle_beta 90.00
_cell_angle_gamma 90.00
loop_
_atom_site_label
_atom_site_fract_x
_atom_site_fract_y
_atom_site_fract_z
Ti1 0.0000 0.0000 0.0000
B1 0.5000 0.5000 0.5000
Sb1 0.5000 0.5000 0.0000
O1 0.0000 0.5000 0.5000

=====

Entry 2:
# SrSiIO2 | Alexandria via LeMat-Bulk | PBE-GGA | relaxed
# N(E_F): 4.525 states/eV/cell
# ΔE_f (raw): -0.06 eV per atom
data_SrSiIO2
_symmetry_space_group_name_H-M 'P 4/m m m'
_symmetry_Int_Tables_number 123
_symmetry_space_group_name_Hall '-P 4 2'
_cell_length_a 4.5736
_cell_length_b 4.5736
_cell_length_c 6.5019
_cell_angle_alpha 90.00
_cell_angle_beta 90.00
_cell_angle_gamma 90.00
loop_
_atom_site_label
_atom_site_fract_x
_atom_site_fract_y
_atom_site_fract_z
Sr1 0.0000 0.0000 0.0000
Si1 0.5000 0.5000 0.5000
I1 0.0000 0.0000 0.5000
O1 0.0000 0.5000 0.0000

=====

Entry 3:
# SrSi2Ir | Alexandria via LeMat-Bulk | PBE-GGA | relaxed
# N(E_F): 4.578 states/eV/cell
# ΔE_f (raw): -0.01 eV per atom
data_SrSi2Ir
_symmetry_space_group_name_H-M 'I m m 2'
_symmetry_Int_Tables_number 44
_cell_length_a 4.3419
_cell_length_b 5.9553
_cell_length_c 7.0790
_cell_angle_alpha 90.00
_cell_angle_beta 90.00
_cell_angle_gamma 90.00
loop_
_symmetry_equiv_pos_as_xyz
'x,y,z'
'-x,-y,z'
'-x,y,z'
'x,-y,z'
'x+1/2,y+1/2,z+1/2'
'-x+1/2,-y+1/2,z+1/2'
'-x+1/2,y+1/2,z+1/2'
'x+1/2,-y+1/2,z+1/2'
loop_
_atom_site_label
_atom_site_fract_x
_atom_site_fract_y
_atom_site_fract_z
Sr1 0.0000 0.0000 0.0000
Si1 0.0000 0.0000 0.5167
Si2 0.0000 0.5000 0.8142
Ir1 0.0000 0.5000 0.1421

=====

Entry 4:
# Li2CoRh | Alexandria via LeMat-Bulk | PBE-GGA | relaxed
# N(E_F): 5.660 states/eV/cell
# energy of formation from the pure elements: 0.1041 eV/atom
data_Li2CoRh
_symmetry_space_group_name_H-M 'C m m 2'
_symmetry_Int_Tables_number 35
_cell_length_a 2.7952
_cell_length_b 4.4512
_cell_length_c 9.0214
_cell_angle_alpha 90.00
_cell_angle_beta 90.00
_cell_angle_gamma 90.00
loop_
_symmetry_equiv_pos_as_xyz
'x,y,z'
'-x,-y,z'
'-x,y,z'
'x,-y,z'
'x+1/2,y+1/2,z'
'-x+1/2,-y+1/2,z'
'-x+1/2,y+1/2,z'
'x+1/2,-y+1/2,z'
loop_
_atom_site_label
_atom_site_fract_x
_atom_site_fract_y
_atom_site_fract_z
Li1 0.0000 0.0000 0.0000
Li2 0.0000 0.5000 0.2927
Co1 0.0000 0.0000 0.5298
Rh1 0.0000 0.5000 0.7616

=====

Entry 5:
# Ba2AgRh2 | Alexandria via LeMat-Bulk | PBE-GGA | relaxed
# N(E_F): 9.053 states/eV/cell
# energy of formation from the pure elements: -0.0340 eV/atom
data_Ba2AgRh2
_symmetry_space_group_name_H-M 'P 4/m b m'
_symmetry_Int_Tables_number 127
_symmetry_space_group_name_Hall '-P 4 2ab'
_cell_length_a 7.5067
_cell_length_b 7.5067
_cell_length_c 4.6794
_cell_angle_alpha 90.00
_cell_angle_beta 90.00
_cell_angle_gamma 90.00
loop_
_atom_site_label
_atom_site_fract_x
_atom_site_fract_y
_atom_site_fract_z
Ba1 0.1796 0.3204 0.0000
Ag1 0.0000 0.0000 0.5000
Rh1 0.1243 0.6243 0.5000

=====

Entry 6:
# CsTaHgAu2 | Alexandria via LeMat-Bulk | PBE-GGA | relaxed
# N(E_F): 4.392 states/eV/cell
# energy of formation from the pure elements: 0.3570 eV/atom
data_CsTaHgAu2
_symmetry_space_group_name_H-M 'P 4/m m m'
_symmetry_Int_Tables_number 123
_symmetry_space_group_name_Hall '-P 4 2'
_cell_length_a 5.2955
_cell_length_b 5.2955
_cell_length_c 5.6193
_cell_angle_alpha 90.00
_cell_angle_beta 90.00
_cell_angle_gamma 90.00
loop_
_atom_site_label
_atom_site_fract_x
_atom_site_fract_y
_atom_site_fract_z
Cs1 0.0000 0.0000 0.0000
Ta1 0.5000 0.5000 0.5000
Hg1 0.5000 0.5000 0.0000
Au1 0.0000 0.5000 0.5000

=====

Entry 7:
# ErThCo | Alexandria via LeMat-Bulk | PBE-GGA | relaxed
# N(E_F): 11.297 states/eV/cell
# energy of formation from the pure elements: -0.0374 eV/atom
data_ErThCo
_symmetry_space_group_name_H-M 'F -4 3 m'
_symmetry_Int_Tables_number 216
_symmetry_space_group_name_Hall 'F -4 2 3'
_cell_length_a 6.7188
_cell_length_b 6.7188
_cell_length_c 6.7188
_cell_angle_alpha 90.00
_cell_angle_beta 90.00
_cell_angle_gamma 90.00
loop_
_atom_site_label
_atom_site_fract_x
_atom_site_fract_y
_atom_site_fract_z
Er1 0.0000 0.0000 0.0000
Th1 0.0000 0.0000 0.5000
Co1 0.2500 0.2500 0.2500

=====

Entry 8:
# KBSe2Br | Alexandria via LeMat-Bulk | PBE-GGA | relaxed
# N(E_F): 5.792 states/eV/cell
# ΔE_f (raw): 1.42 eV per atom
data_KBSe2Br
_symmetry_space_group_name_H-M 'P 4/m m m'
_symmetry_Int_Tables_number 123
_symmetry_space_group_name_Hall '-P 4 2'
_cell_length_a 6.1093
_cell_length_b 6.1093
_cell_length_c 6.0104
_cell_angle_alpha 90.00
_cell_angle_beta 90.00
_cell_angle_gamma 90.00
loop_
_atom_site_label
_atom_site_fract_x
_atom_site_fract_y
_atom_site_fract_z
K1 0.0000 0.0000 0.0000
B1 0.5000 0.5000 0.5000
Se1 0.0000 0.5000 0.0000
Br1 0.0000 0.0000 0.5000

=====

Entry 9:
# DyYBeRu | Alexandria via LeMat-Bulk | PBE-GGA | relaxed
# N(E_F): 14.166 states/eV/cell
# energy of formation from the pure elements: -0.1372 eV/atom
data_DyYBeRu
_symmetry_space_group_name_H-M 'F -4 3 m'
_symmetry_Int_Tables_number 216
_symmetry_space_group_name_Hall 'F -4 2 3'
_cell_length_a 6.8390
_cell_length_b 6.8390
_cell_length_c 6.8390
_cell_angle_alpha 90.00
_cell_angle_beta 90.00
_cell_angle_gamma 90.00
loop_
_atom_site_label
_atom_site_fract_x
_atom_site_fract_y
_atom_site_fract_z
Dy1 0.0000 0.0000 0.0000
Y1 0.0000 0.0000 0.5000
Be1 0.2500 0.2500 0.2500
Ru1 0.2500 0.2500 0.7500

=====

Entry 10:
# TlBi4Au2 | Alexandria via LeMat-Bulk | PBE-GGA | relaxed
# N(E_F): 4.638 states/eV/cell
# energy of formation from the pure elements: 0.0016 eV/atom
data_TlBi4Au2
_symmetry_space_group_name_H-M 'P 42/m n m'
_symmetry_Int_Tables_number 136
_symmetry_space_group_name_Hall '-P 4n 2n'
_cell_length_a 9.5179
_cell_length_b 9.5179
_cell_length_c 4.6033
_cell_angle_alpha 90.00
_cell_angle_beta 90.00
_cell_angle_gamma 90.00
loop_
_atom_site_label
_atom_site_fract_x
_atom_site_fract_y
_atom_site_fract_z
Tl1 0.0000 0.0000 0.0000
Bi1 0.0803 0.3188 0.5000
Au1 0.2136 0.7864 0.5000

=====

Entry 11:
# CuAg2MoH | Alexandria via LeMat-Bulk | PBE-GGA | relaxed
# N(E_F): 4.296 states/eV/cell
# DFT total energy: -3.9787 eV per atom
data_CuAg2MoH
_symmetry_space_group_name_H-M 'P 4/m m m'
_symmetry_Int_Tables_number 123
_symmetry_space_group_name_Hall '-P 4 2'
_cell_length_a 5.1565
_cell_length_b 5.1565
_cell_length_c 2.8655
_cell_angle_alpha 90.00
_cell_angle_beta 90.00
_cell_angle_gamma 90.00
loop_
_atom_site_label
_atom_site_fract_x
_atom_site_fract_y
_atom_site_fract_z
Cu1 0.0000 0.0000 0.0000
Ag1 0.0000 0.5000 0.0000
Mo1 0.5000 0.5000 0.5000
H1 0.0000 0.0000 0.5000

=====

Entry 12:
# Pr2Ni3SnGe4 | Alexandria via LeMat-Bulk | PBE-GGA | relaxed
# N(E_F): 3.617 states/eV/cell
# energy of formation from the pure elements: -0.5755 eV/atom
data_Pr2Ni3SnGe4
_symmetry_space_group_name_H-M 'P -4 m 2'
_symmetry_Int_Tables_number 115
_cell_length_a 4.2341
_cell_length_b 4.2341
_cell_length_c 10.3599
_cell_angle_alpha 90.00
_cell_angle_beta 90.00
_cell_angle_gamma 90.00
loop_
_symmetry_equiv_pos_as_xyz
'x,y,z'
'y,-x,-z'
'-x,-y,z'
'-y,x,-z'
'-x,y,z'
'-y,-x,-z'
'x,-y,z'
'y,x,-z'
loop_
_atom_site_label
_atom_site_fract_x
_atom_site_fract_y
_atom_site_fract_z
Pr1 0.0000 0.5000 0.2320
Ni1 0.0000 0.5000 0.8875
Ni2 0.5000 0.5000 0.5000
Sn1 0.0000 0.0000 0.5000
Ge1 0.0000 0.0000 0.0000
Ge2 0.0000 0.5000 0.6623
Ge3 0.5000 0.5000 0.0000

=====

Entry 13:
# CeSmN | Alexandria via LeMat-Bulk | PBE-GGA | relaxed
# N(E_F): 17.708 states/eV/cell
# ΔE_f (raw): -0.70 eV per atom
data_CeSmN
_symmetry_space_group_name_H-M 'P n m a'
_symmetry_Int_Tables_number 62
_cell_length_a 6.4580
_cell_length_b 3.3342
_cell_length_c 11.9234
_cell_angle_alpha 90.00
_cell_angle_beta 90.00
_cell_angle_gamma 90.00
loop_
_symmetry_equiv_pos_as_xyz
'x,y,z'
'-x,-y,-z'
'-x+1/2,-y,z+1/2'
'x+1/2,y,-z+1/2'
'x+1/2,-y+1/2,-z+1/2'
'-x+1/2,y+1/2,z+1/2'
'-x,y+1/2,-z'
'x,-y+1/2,z'
loop_
_atom_site_label
_atom_site_fract_x
_atom_site_fract_y
_atom_site_fract_z
Ce1 0.2254 0.2500 0.0064
Sm1 0.0991 0.7500 0.7614
N1 0.0927 0.7500 0.1330